The following is a DFT calculation (GGA+U) of an optimized crystal structure of PrTlMo2O8.

Calculated values
calculated density = 5.191 Mg/m³
raw total energy = -7.069 eV per atom
DOS(E_F) = 0.00 states/eV/f.u.
space group = Pbcn, No. 60

Lattice parameters (Å, degrees): 5.257 19.269 8.401 90.00 90.00 90.00
Positions (direct):
Pr  0.000  0.006  0.250
Pr  0.000  0.994  0.750
Pr  0.500  0.494  0.750
Pr  0.500  0.506  0.250
Tl  0.000  0.228  0.750
Tl  0.000  0.772  0.250
Tl  0.500  0.272  0.250
Tl  0.500  0.728  0.750
Mo  0.019  0.398  0.013
Mo  0.019  0.602  0.513
Mo  0.481  0.102  0.513
Mo  0.481  0.898  0.013
Mo  0.519  0.102  0.987
Mo  0.519  0.898  0.487
Mo  0.981  0.398  0.487
Mo  0.981  0.602  0.987
O  0.103  0.313  0.481
O  0.103  0.687  0.981
O  0.221  0.402  0.842
O  0.221  0.598  0.342
O  0.235  0.408  0.181
O  0.235  0.592  0.681
O  0.247  0.461  0.501
O  0.247  0.539  0.001
O  0.253  0.039  0.001
O  0.253  0.961  0.501
O  0.265  0.092  0.681
O  0.265  0.908  0.181
O  0.279  0.098  0.342
O  0.279  0.902  0.842
O  0.397  0.187  0.981
O  0.397  0.813  0.481
O  0.603  0.187  0.519
O  0.603  0.813  0.019
O  0.721  0.098  0.158
O  0.721  0.902  0.658
O  0.735  0.092  0.819
O  0.735  0.908  0.319
O  0.747  0.039  0.499
O  0.747  0.961  0.999
O  0.753  0.461  0.999
O  0.753  0.539  0.499
O  0.765  0.408  0.319
O  0.765  0.592  0.819
O  0.779  0.402  0.658
O  0.779  0.598  0.158
O  0.897  0.313  0.019
O  0.897  0.687  0.519